Crystalline TcWCl2 at its relaxed geometry, computed with PBE-GGA.

a b c (Å): 7.1359 7.1359 4.4287
angles (deg): 83.46 83.46 24.13
Fractional positions:
Tc1 0.7500 0.7500 0.7500
W1 0.2500 0.2500 0.2500
Cl1 0.8873 0.8873 0.0391
Cl2 0.6127 0.6127 0.4609

Results
The energy is -6.522 eV/atom. As for the space-group type: No. 12. As for the total magnetic moment: 0.001 μB/cell. The uncorrected formation energy comes out at 22.34 kJ per mole of atoms.